(1)
5
Lattice="4.5396 0.0000 0.0000 0.0000 4.5396 0.0000 0.0000 0.0000 4.5396" Properties=species:S:1:pos:R:3 comment="Mn3MoPd | Alexandria | GGA-PBE | relaxed" delta_e_f_ev_per_atom=1.2531 dos_ef_per_ev_fu=6.13 polymorph_energy_ev_per_atom=0.000 pbc="T T T"
Mo 0.0000 0.0000 0.0000
Mn 0.0000 2.2698 0.0000
Mn 0.0000 0.0000 2.2698
Mn 2.2698 0.0000 0.0000
Pd 2.2698 2.2698 2.2698

***

(2)
11
Lattice="-4.8369 -2.8072 0.7461 1.0266 0.2782 6.1592 -1.7658 4.5044 3.9573" Properties=species:S:1:pos:R:3 comment="TmAs2F8 | Alexandria | GGA-PBE | relaxed" formation_energy_uncorrected_ev_per_atom=-2.56 dos_ef_per_ev_fu=2.62 pbc="T T T"
Tm 0.0000 0.0000 0.0000
As -3.3970 2.0281 8.2006
As -2.1791 -0.0528 2.6620
F -2.3161 3.5633 5.8828
F -4.8294 0.7873 3.7422
F -2.1423 3.4409 9.3208
F -3.4337 -1.4655 1.5418
F -0.7467 1.1880 7.1204
F -3.2600 -1.5880 4.9798
F -4.4205 0.8676 7.2710
F -1.1556 1.1077 3.5916

***

(3)
4
Lattice="3.6457 0.0000 0.0000 0.0000 6.0257 0.5633 0.0000 5.1822 5.7960" Properties=species:S:1:pos:R:3 comment="BeCrTe2 | Alexandria | GGA-PBE | relaxed" formation_energy_uncorrected_ev_per_atom=0.25 dos_ef_per_ev_fu=1.78 pbc="T T T"
Cr 1.8229 8.4059 4.7695
Te 0.0000 1.6175 0.1823
Te 0.0000 3.9865 2.9974
Be 1.8229 2.8020 1.5898